# Sr2MgRh GGA-PBEsol relaxed
data_Sr2MgRh
_chemical_formula_sum 'Sr4 Mg2 Rh2'
_cell_length_a 4.464
_cell_length_b 4.590
_cell_length_c 11.670
_cell_angle_alpha 90.00
_cell_angle_beta 90.00
_cell_angle_gamma 90.00
_symmetry_space_group_name_H-M 'A m m 2'
_symmetry_Int_Tables_number 38
loop_
_symmetry_equiv_pos_as_xyz
'x,y,z'
'-x,-y,z'
'-x,y,z'
'x,-y,z'
'x,y+1/2,z+1/2'
'-x,-y+1/2,z+1/2'
'-x,y+1/2,z+1/2'
'x,-y+1/2,z+1/2'
loop_
_atom_site_label
_atom_site_type_symbol
_atom_site_fract_x
_atom_site_fract_y
_atom_site_fract_z
Sr1 Sr 0.000 0.000 0.000
Sr2 Sr 0.500 0.000 0.283
Mg1 Mg 0.000 0.000 0.694
Rh1 Rh 0.500 0.000 0.583
# Calculated volume ... 239 Å³ per cell
# Magnetization ... 0.00 μB/f.u.
# E_tot ... -27.8 eV/cell
# Energy of formation ... -97 meV per atom
# Theoretical density ... 4.20 g cm⁻³
# DOS(E_F) ... 4.90 states/eV/cell